VASP calculation (GGA-PBE) on a relaxed TiAl2OsRu crystal.

a = 4.6174 Å, b = 4.6430 Å, c = 4.6174 Å
α = 90.00°, β = 90.00°, γ = 90.00°
Closest atoms and distances in Å follow each position.
Fractional positions:
Al (0.5000, 0.0000, 0.0000)  2 Os 2.31
Al (0.0000, 0.0000, 0.5000)  2 Os 2.31
Ru (0.5000, 0.5000, 0.5000)  4 Ti 3.27, 8 Al 3.27
Os (0.0000, 0.0000, 0.0000)  4 Al 2.31, 2 Ti 2.32
Ti (0.0000, 0.5000, 0.0000)  2 Os 2.32

The total energy comes out at -32.61 eV per cell. Its energy of formation from the pure elements is 0.654 eV per atom.

VASP calculation (GGA-PBE) on a relaxed SrAc2Tb crystal.

a = 6.2311 Å, b = 6.2311 Å, c = 6.2311 Å
α = 60.00°, β = 60.00°, γ = 60.00°
Closest atoms and distances in Å follow each position.
Fractional positions:
Sr (0.5000, 0.5000, 0.5000)  8 Ac 3.82
Tb (0.0000, 0.0000, 0.0000)  8 Ac 3.82
Ac (0.7500, 0.7500, 0.7500)  4 Sr 3.82, 4 Tb 3.82
Ac (0.2500, 0.2500, 0.2500)  4 Sr 3.82, 4 Tb 3.82

The total energy comes out at -13.94 eV per cell. Its energy of formation from the pure elements is 0.147 eV per atom. The energy above the most stable polymorph in this dataset is 32 kJ/mol of formula units.

VASP calculation (GGA-PBE) on a relaxed AcSmPd5Pb2 crystal.

a = 4.3903 Å, b = 4.3903 Å, c = 10.4903 Å
α = 90.00°, β = 90.00°, γ = 90.00°
Closest atoms and distances in Å follow each position.
Fractional positions:
Pd (0.5000, 0.0000, 0.7026)  2 Pb 2.72
Pd (0.5000, 0.5000, 0.5000)  8 Pd 3.06, 4 Ac 3.10
Pd (0.0000, 0.5000, 0.7026)  2 Pb 2.72
Pd (0.5000, 0.0000, 0.2974)  2 Pb 2.72
Pd (0.0000, 0.5000, 0.2974)  2 Pb 2.72
Pb (0.5000, 0.5000, 0.1435)  4 Pd 2.72, 1 Pb 3.01
Pb (0.5000, 0.5000, 0.8565)  4 Pd 2.72, 1 Pb 3.01
Ac (0.0000, 0.0000, 0.5000)  12 Pd 3.06-3.10
Sm (0.0000, 0.0000, 0.0000)  8 Pb 3.45, 8 Pd 3.81

The total energy comes out at -46.59 eV per cell. Its energy of formation from the pure elements is -0.487 eV per atom.

VASP calculation (GGA-PBE) on a relaxed CuWS2N crystal.

a = 4.5593 Å, b = 4.5593 Å, c = 3.4614 Å
α = 90.00°, β = 90.00°, γ = 90.00°
Closest atoms and distances in Å follow each position.
Fractional positions:
S (0.0000, 0.5000, 0.0000)  2 Cu 2.28
S (0.5000, 0.0000, 0.0000)  2 Cu 2.28
W (0.5000, 0.5000, 0.5000)  8 S 2.86
Cu (0.0000, 0.0000, 0.0000)  2 N 1.73
N (0.0000, 0.0000, 0.5000)  2 Cu 1.73

The total energy comes out at -26.66 eV per cell. The energy above the most stable polymorph in this dataset is 496 kJ/mol of formula units.

VASP calculation (GGA-PBE) on a relaxed Sn5PbAu4 crystal.

a = 4.5837 Å, b = 7.2549 Å, c = 8.2260 Å
α = 83.43°, β = 106.18°, γ = 90.00°
Closest atoms and distances in Å follow each position.
Fractional positions:
Au (0.3125, 0.2416, 0.6250)  6 Sn 2.84-2.98
Au (0.9547, 0.7239, 0.9094)  4 Sn 2.74-2.85
Au (0.0453, 0.2761, 0.0906)  4 Sn 2.74-2.85
Au (0.6875, 0.7584, 0.3750)  6 Sn 2.84-2.98
Sn (0.8320, 0.4672, 0.6641)  4 Au 2.84-2.92
Sn (0.8242, 0.0078, 0.6484)  4 Au 2.74-2.98
Sn (0.5000, 0.5000, 0.0000)  4 Au 2.85
Sn (0.1680, 0.5328, 0.3359)  4 Au 2.84-2.92
Sn (0.1758, 0.9922, 0.3516)  4 Au 2.74-2.98
Pb (0.5000, 0.0000, 0.0000)  6 Au 3.18-3.26

The total energy comes out at -37.80 eV per cell. Its energy of formation from the pure elements is -0.097 eV per atom.

VASP calculation (GGA-PBE) on a relaxed Re2Rh3 crystal.

a = 7.3169 Å, b = 7.3169 Å, c = 7.3169 Å
α = 154.24°, β = 154.24°, γ = 36.76°
Closest atoms and distances in Å follow each position.
Fractional positions:
Rh (0.3995, 0.3995, 0.0000)  5 Rh 2.70-2.79, 5 Re 2.71-2.73
Rh (0.6005, 0.6005, 0.0000)  5 Rh 2.70-2.79, 5 Re 2.71-2.73
Rh (0.0000, 0.0000, 0.0000)  8 Rh 2.70, 2 Re 2.82
Re (0.7970, 0.7970, 0.0000)  4 Re 2.65, 6 Rh 2.71-2.82
Re (0.2030, 0.2030, 0.0000)  4 Re 2.65, 6 Rh 2.71-2.82

The total energy comes out at -45.90 eV per cell. Its energy of formation from the pure elements is 0.211 eV per atom. The energy above the most stable polymorph in this dataset is 157 kJ/mol of formula units.